# Pr6Er12Tl PBE optimized geometry
data_Pr6Er12Tl
_symmetry_space_group_name_H-M 'R -3'
_symmetry_Int_Tables_number 148
_symmetry_space_group_name_Hall '-R 3'
_cell_length_a 11.9477
_cell_length_b 11.9477
_cell_length_c 14.9003
_cell_angle_alpha 90.00
_cell_angle_beta 90.00
_cell_angle_gamma 120.00
loop_
_atom_site_label
_atom_site_type_symbol
_atom_site_fract_x
_atom_site_fract_y
_atom_site_fract_z
_atom_site_occupancy
Pr1 Pr 0.0110 0.4205 0.1821 1
Er1 Er 0.0021 0.8289 0.6870 1
Er2 Er 0.0454 0.8529 0.9163 1
Tl1 Tl 0.0000 0.0000 0.5000 1
# DFT formation energy in eV/atom: 0.085
# Density in g/cm3: 8.3
# Calculated volume in A^3/atom: 32.32
# DOS at the Fermi energy in states/eV/cell: 67.48
# Raw total energy in eV/atom: -4.43